Entry 1:
The following is a PBE calculation of an optimized crystal structure of NaCeTl2Se4, from the Alexandria database.

Lattice parameters (Å, degrees): 7.5801 4.2724 7.6515 90.00 108.22 90.00
Last column: nearest neighbours and their distance in Å.
Fractional coordinates of all 8 atoms:
Na  0.0000  0.0000  0.0000  6 Se 3.05-3.11
Ce  0.5000  0.5000  0.0000  6 Se 2.85-2.89
Tl  0.0000  0.5000  0.5000  6 Se 3.31-3.32
Tl  0.5000  0.0000  0.5000  6 Se 3.09-3.15
Se  0.2711  0.5000  0.2329  1 Ce 2.85, 2 Tl 3.09, 2 Na 3.11
Se  0.2785  0.0000  0.7867  2 Ce 2.89, 1 Na 3.05, 1 Tl 3.15
Se  0.7215  0.0000  0.2133  2 Ce 2.89, 1 Na 3.05, 1 Tl 3.15
Se  0.7289  0.5000  0.7671  1 Ce 2.85, 2 Tl 3.09, 2 Na 3.11

Summary:
**Space-group type**: P2/m (10)
**E_form (uncorrected)**: -0.96 eV per atom
**N(E_F)**: 3.08 states/eV per cell
**Crystal system**: monoclinic

***

Entry 2:
The following is a PBE calculation of an optimized crystal structure of BaTlSn2N, from the Alexandria database.

Lattice parameters (Å, degrees): 6.2501 6.2501 6.4652 90.00 90.00 90.00
Last column: nearest neighbours and their distance in Å.
Fractional coordinates of all 5 atoms:
Ba  0.0000  0.0000  0.0000  4 Sn 3.13, 2 Tl 3.23
Tl  0.0000  0.0000  0.5000  2 Ba 3.23
Sn  0.0000  0.5000  0.0000  2 Ba 3.13
Sn  0.5000  0.0000  0.0000  2 Ba 3.13
N  0.5000  0.5000  0.5000  4 Tl 4.42, 8 Sn 4.50

Summary:
**Space-group type**: P4/mmm (123)
**E_form (uncorrected)**: 2.07 eV per atom
**N(E_F)**: 8.97 states/eV per cell
**Crystal system**: tetragonal

***

Entry 3:
The following is a PBE calculation of an optimized crystal structure of Ba2Al3Zn, from the Alexandria database.

Lattice parameters (Å, degrees): 4.5416 5.2060 7.8660 90.00 90.00 90.00
Last column: nearest neighbours and their distance in Å.
Fractional coordinates of all 6 atoms:
Ba  0.0000  0.0000  0.0000  10 Al 3.70, 2 Zn 3.70
Ba  0.5000  0.0000  0.4985  8 Al 3.69, 4 Zn 3.69
Al  0.0000  0.5000  0.3347  1 Zn 2.60, 2 Al 2.63
Al  0.5000  0.5000  0.1669  3 Al 2.63-2.64
Al  0.5000  0.5000  0.8311  2 Zn 2.62, 1 Al 2.64
Zn  0.0000  0.5000  0.6652  3 Al 2.60-2.62

Summary:
**Space-group type**: Pmm2 (25)
**N(E_F)**: 5.31 states/eV per cell
**Offset from the most stable computed form**: 0.00 eV per formula unit
**Energy relative to the elements**: -1.0 eV per formula unit
**Crystal system**: orthorhombic

***

Entry 4:
The following is a PBE calculation of an optimized crystal structure of ZnTe, from the Alexandria database.

Lattice parameters (Å, degrees): 3.9116 3.9116 6.7682 90.00 90.00 90.00
Last column: nearest neighbours and their distance in Å.
Fractional coordinates of all 4 atoms:
Zn  0.2500  0.2500  0.1528  5 Te 2.76-2.85
Zn  0.7500  0.7500  0.8472  5 Te 2.76-2.85
Te  0.2500  0.2500  0.7452  5 Zn 2.76-2.85
Te  0.7500  0.7500  0.2548  5 Zn 2.76-2.85

Summary:
**Space-group type**: P4/nmm (129)
**E_form (uncorrected)**: -0.17 eV per atom
**N(E_F)**: 1.22 states/eV per cell
**Crystal system**: tetragonal

***

Entry 5:
The following is a PBE calculation of an optimized crystal structure of NaHf2P, from the Alexandria database.

Lattice parameters (Å, degrees): 6.2432 6.2432 6.2432 102.31 102.31 125.00
Last column: nearest neighbours and their distance in Å.
Fractional coordinates of all 8 atoms:
Na  0.0000  0.0000  0.0000  2 P 2.88, 4 Hf 3.23
Na  0.7500  0.2500  0.5000  2 P 2.88, 4 Hf 3.23
Hf  0.1896  0.1250  0.5646  2 P 2.54
Hf  0.3750  0.8104  0.9354  2 P 2.54
Hf  0.5604  0.6250  0.4354  2 P 2.54
Hf  0.8750  0.4396  0.0646  2 P 2.54
P  0.2500  0.7500  0.5000  4 Hf 2.54
P  0.5000  0.5000  0.0000  4 Hf 2.54

Summary:
**Space-group type**: I-42d (122)
**N(E_F)**: 7.12 states/eV per cell
**Energy relative to the elements**: 0.6 eV per formula unit
**Crystal system**: tetragonal

***

Entry 6:
The following is a PBE calculation of an optimized crystal structure of KHg2TeBr, from the Alexandria database.

Lattice parameters (Å, degrees): 5.6892 5.6892 6.9990 90.00 90.00 90.00
Last column: nearest neighbours and their distance in Å.
Fractional coordinates of all 5 atoms:
K  0.0000  0.0000  0.0000  2 Te 3.50
Hg  0.0000  0.5000  0.5000  2 Te 2.84
Hg  0.5000  0.0000  0.5000  2 Te 2.84
Te  0.0000  0.0000  0.5000  4 Hg 2.84
Br  0.5000  0.5000  0.0000  4 K 4.02

Summary:
**Space-group type**: P4/mmm (123)
**E_form (uncorrected)**: -0.54 eV per atom
**N(E_F)**: 1.56 states/eV per cell
**Offset from the most stable computed form**: 0.00 eV per formula unit
**Crystal system**: tetragonal

***

Entry 7:
The following is a PBE calculation of an optimized crystal structure of TbEuHoCd, from the Alexandria database.

Lattice parameters (Å, degrees): 5.5478 5.5478 5.5478 60.00 60.00 60.00
Last column: nearest neighbours and their distance in Å.
Fractional coordinates of all 4 atoms:
Tb  0.0000  0.0000  0.0000  4 Cd 3.40, 4 Ho 3.40
Eu  0.5000  0.5000  0.5000  4 Ho 3.40, 4 Cd 3.40
Ho  0.7500  0.7500  0.7500  4 Eu 3.40, 4 Tb 3.40
Cd  0.2500  0.2500  0.2500  4 Eu 3.40, 4 Tb 3.40

Summary:
**Space-group type**: F-43m (216)
**N(E_F)**: 3.04 states/eV per cell
**Energy relative to the elements**: 0.0 eV per formula unit
**Crystal system**: cubic

***

Entry 8:
The following is a PBE calculation of an optimized crystal structure of In2CuAs, from the Alexandria database.

Lattice parameters (Å, degrees): 4.1172 3.9896 5.6416 90.00 111.08 90.00
Last column: nearest neighbours and their distance in Å.
Fractional coordinates of all 4 atoms:
In  0.0000  0.0000  0.0000  4 Cu 2.94-2.96, 3 As 3.03-3.04
In  0.3036  0.5000  0.6102  1 Cu 2.74, 4 As 3.03-3.04
Cu  0.5670  0.5000  0.1308  2 As 2.52, 1 In 2.74
As  0.7083  0.0000  0.4221  2 Cu 2.52

Summary:
**Space-group type**: Pm (6)
**N(E_F)**: 1.47 states/eV per cell
**Energy relative to the elements**: 0.1 eV per formula unit
**Crystal system**: monoclinic